# PmCoPtO6, relaxed, DFT PBE+U
data_PmCoPtO6
_symmetry_space_group_name_H-M 'P 1'
_symmetry_Int_Tables_number 1
_symmetry_space_group_name_Hall 'P 1'
_cell_length_a 5.5569
_cell_length_b 5.5569
_cell_length_c 8.2636
_cell_angle_alpha 90.00
_cell_angle_beta 90.00
_cell_angle_gamma 120.00
loop_
_atom_site_label
_atom_site_type_symbol
_atom_site_fract_x
_atom_site_fract_y
_atom_site_fract_z
Pt1 Pt 0.6667 0.3333 0.2500
Pt2 Pt 0.3333 0.6667 0.7500
O1 O 0.3079 0.3569 0.8844
O2 O 0.0491 0.6921 0.8844
O3 O 0.3569 0.0490 0.1156
O4 O 0.6921 0.0490 0.3844
O5 O 0.9510 0.6431 0.3844
O6 O 0.3079 0.9510 0.6156
O7 O 0.6921 0.6431 0.1156
O8 O 0.6431 0.6921 0.6156
O9 O 0.3569 0.3079 0.3844
O10 O 0.6431 0.9510 0.8844
O11 O 0.0491 0.3569 0.6156
O12 O 0.9510 0.3079 0.1156
Pm1 Pm 0.3333 0.6667 0.2500
Pm2 Pm 0.6667 0.3333 0.7500
Co1 Co 0.0000 0.0000 0.5000
Co2 Co 0.0000 0.0000 0.0000
# Mass density: 7.4 Mg/m³
# DFT total energy: -6.1746 eV per atom
# Symmetry: P-31c, No. 163